(1)
Material: Ca2Mg2Sn
Method: DFT, PBE
State: relaxed

Lattice parameters (Å, degrees): 7.615 7.615 5.084 90.00 90.00 90.00
Positions (direct):
1 Sn 0.000 0.000 0.000
2 Mg 0.367 0.867 0.000
3 Ca 0.675 0.825 0.500
4 Sn 0.500 0.500 0.000
5 Mg 0.867 0.633 0.000
6 Ca 0.175 0.675 0.500
7 Ca 0.325 0.175 0.500
8 Mg 0.633 0.133 0.000
9 Mg 0.133 0.367 0.000
10 Ca 0.825 0.325 0.500

Values from the calculation:
Fermi-level density of states ... 0.81 states/eV per atom
Total magnetization ... 0.0 μB per formula unit
Total DFT energy (no corrections) ... -0.180 Ry per atom
Offset from the most stable computed form ... 0.0 meV/atom
Formation energy ... -213 meV per atom

***

(2)
Material: Ca5Mg2Sn4
Method: DFT, PBE
State: relaxed

Lattice parameters (Å, degrees): 3.929 8.878 11.161 113.43 100.14 90.00
Positions (direct):
1 Mg 0.426 0.425 0.852
2 Ca 0.162 0.930 0.325
3 Ca 0.838 0.070 0.675
4 Ca 0.162 0.394 0.325
5 Sn 0.000 0.706 0.000
6 Sn 0.717 0.717 0.434
7 Ca 0.500 0.000 0.000
8 Sn 0.283 0.283 0.566
9 Ca 0.838 0.606 0.675
10 Sn 0.000 0.294 0.000
11 Mg 0.574 0.575 0.148

Values from the calculation:
Fermi-level density of states ... 0.37 states/eV per atom
Total magnetization ... 0.0 μB per formula unit
Total DFT energy (no corrections) ... -0.225 Ry per atom
Formation energy ... -400 meV per atom

***

(3)
Material: CaMg3Sn6
Method: DFT, PBE
State: relaxed

Lattice parameters (Å, degrees): 5.428 8.974 11.558 109.96 77.05 98.55
Positions (direct):
1 Mg 0.250 0.357 0.811
2 Mg 0.252 0.744 0.990
3 Sn 0.755 0.545 0.900
4 Mg 0.755 0.457 0.600
5 Sn 0.745 0.728 0.480
6 Sn 0.760 0.934 0.086
7 Sn 0.255 0.272 0.520
8 Mg 0.750 0.643 0.189
9 Ca 0.228 0.945 0.607
10 Mg 0.748 0.256 0.010
11 Ca 0.772 0.055 0.393
12 Mg 0.245 0.543 0.400
13 Sn 0.274 0.150 0.200
14 Sn 0.240 0.066 0.914
15 Sn 0.245 0.455 0.100
16 Sn 0.253 0.630 0.696
17 Sn 0.745 0.180 0.721
18 Sn 0.255 0.820 0.279
19 Sn 0.726 0.850 0.800
20 Sn 0.747 0.370 0.304

Values from the calculation:
Fermi-level density of states ... 0.37 states/eV per atom
Total magnetization ... 0.0 μB per formula unit
Total DFT energy (no corrections) ... -0.241 Ry per atom
Formation energy ... -193 meV per atom

***

(4)
Material: Ca3MgSn6
Method: DFT, PBE
State: relaxed

Lattice parameters (Å, degrees): 8.341 8.341 8.341 96.57 96.57 96.57
Positions (direct):
1 Ca 0.250 0.682 0.818
2 Sn 0.590 0.503 0.859
3 Mg 0.500 0.500 0.500
4 Ca 0.182 0.750 0.318
5 Sn 0.410 0.497 0.141
6 Mg 0.000 0.000 0.000
7 Sn 0.141 0.410 0.497
8 Sn 0.910 0.641 0.997
9 Ca 0.318 0.182 0.750
10 Sn 0.859 0.590 0.503
11 Sn 0.497 0.141 0.410
12 Ca 0.750 0.318 0.182
13 Sn 0.641 0.997 0.910
14 Sn 0.090 0.359 0.003
15 Sn 0.359 0.003 0.090
16 Ca 0.818 0.250 0.682
17 Sn 0.997 0.910 0.641
18 Ca 0.682 0.818 0.250
19 Sn 0.003 0.090 0.359
20 Sn 0.503 0.859 0.590

Values from the calculation:
Fermi-level density of states ... 0.36 states/eV per atom
Total magnetization ... 0.0 μB per formula unit
Total DFT energy (no corrections) ... -0.262 Ry per atom
Formation energy ... -406 meV per atom